Record 1
DFT (GGA-PBE) results for an optimized crystal structure of MgH3Pt.

The structure belongs to space group C2/c (No. 15); the cell edges are 9.860, 7.033 and 6.019 Å and the angles 90.00°, 115.20° and 90.00°. The distinct sites, in fractional coordinates, are Mg at (0.000, 0.139, 0.250), Mg at (0.000, 0.349, 0.750), H at (0.067, 0.124, 0.620), H at (0.154, 0.449, 0.451), H at (0.200, 0.208, 0.189) and Pt at (0.244, 0.451, 0.252).

The value obtained for the spin magnetization is 0.0 μB per formula unit. For the total DFT energy (no corrections), the calculation gives -3.724 eV per atom.

Record 2
DFT (GGA-PBE) results for an optimized crystal structure of MgHPt.

The structure belongs to space group I4mm (No. 107); the cell edges are 3.034, 3.034 and 8.664 Å and the angles 90.00°, 90.00° and 90.00°. The distinct sites, in fractional coordinates, are Mg at (0.000, 0.000, 0.000), H at (0.000, 0.000, 0.512) and Pt at (0.000, 0.000, 0.312).

The value obtained for the spin magnetization is 0.0 μB per formula unit. For the total DFT energy (no corrections), the calculation gives -3.835 eV per atom.

Record 3
DFT (GGA-PBE) results for an optimized crystal structure of MgH2Pt.

The structure belongs to space group Cmcm (No. 63); the cell edges are 3.225, 11.659 and 4.458 Å and the angles 90.00°, 90.00° and 90.00°. The distinct sites, in fractional coordinates, are Mg at (0.000, 0.115, 0.250), H at (0.000, 0.314, 0.007) and Pt at (0.000, 0.421, 0.250).

The value obtained for the spin magnetization is 0.0 μB per formula unit. For the total DFT energy (no corrections), the calculation gives -3.983 eV per atom.

Repeat the first record exactly.
DFT (GGA-PBE) results for an optimized crystal structure of MgH3Pt.

The structure belongs to space group C2/c (No. 15); the cell edges are 9.860, 7.033 and 6.019 Å and the angles 90.00°, 115.20° and 90.00°. The distinct sites, in fractional coordinates, are Mg at (0.000, 0.139, 0.250), Mg at (0.000, 0.349, 0.750), H at (0.067, 0.124, 0.620), H at (0.154, 0.449, 0.451), H at (0.200, 0.208, 0.189) and Pt at (0.244, 0.451, 0.252).

The value obtained for the spin magnetization is 0.0 μB per formula unit. For the total DFT energy (no corrections), the calculation gives -3.724 eV per atom.